Entry 1:
Computed, not measured: a geometry-optimized CaScBe2Si2 structure at the PBE level of DFT.

a = 3.8453 Å, b = 3.8453 Å, c = 7.9537 Å
α = 90.00°, β = 90.00°, γ = 120.00°
Sites, in units of the cell vectors:
Ca (0.0000, 0.0000, 0.0000)
Sc (0.0000, 0.0000, 0.5000)
Be (0.3333, 0.6667, 0.7174)
Be (0.6667, 0.3333, 0.2826)
Si (0.3333, 0.6667, 0.2749)
Si (0.6667, 0.3333, 0.7251)

Properties
* space-group type: No. 164
* electronic total energy: -4.9097 eV per atom
* Fermi-level density of states: 3.14 states/eV/cell
* formation energy (no corrections): -471 meV/atom



Entry 2:
Computed, not measured: a geometry-optimized RbCd2In2Hg2 structure at the PBE level of DFT.

a = 10.7622 Å, b = 10.7622 Å, c = 10.7622 Å
α = 26.45°, β = 26.45°, γ = 26.45°
Sites, in units of the cell vectors:
Rb (0.0000, 0.0000, 0.0000)
Cd (0.4366, 0.4366, 0.4366)
Cd (0.5634, 0.5634, 0.5634)
In (0.1421, 0.1421, 0.1421)
In (0.8579, 0.8579, 0.8579)
Hg (0.2581, 0.2581, 0.2581)
Hg (0.7419, 0.7419, 0.7419)

Properties
* space-group type: No. 166
* electronic total energy: -1.3588 eV per atom
* Fermi-level density of states: 1.92 states/eV/cell
* calculated formation energy: -90.5 meV per atom



Entry 3:
Computed, not measured: a geometry-optimized TmU3Tl2O12 structure at the PBE level of DFT.

a = 7.8864 Å, b = 7.8864 Å, c = 7.8864 Å
α = 61.96°, β = 61.96°, γ = 61.96°
Sites, in units of the cell vectors:
Tm (0.0000, 0.0000, 0.0000)
U (0.0000, 0.0000, 0.5000)
U (0.0000, 0.5000, 0.0000)
U (0.5000, 0.0000, 0.0000)
Tl (0.3232, 0.3232, 0.3232)
Tl (0.6768, 0.6768, 0.6768)
O (0.0492, 0.6908, 0.6908)
O (0.0641, 0.0641, 0.6725)
O (0.0641, 0.6725, 0.0641)
O (0.3092, 0.3092, 0.9508)
O (0.3092, 0.9508, 0.3092)
O (0.3275, 0.9359, 0.9359)
O (0.6725, 0.0641, 0.0641)
O (0.6908, 0.0492, 0.6908)
O (0.6908, 0.6908, 0.0492)
O (0.9359, 0.3275, 0.9359)
O (0.9359, 0.9359, 0.3275)
O (0.9508, 0.3092, 0.3092)

Properties
* space-group type: No. 166
* electronic total energy: -8.3740 eV per atom
* Fermi-level density of states: 17.03 states/eV/cell
* formation energy (no corrections): -2676 meV/atom